VASP calculation (PBE) on a relaxed structure of Ta2FeCo.

Unit cell a=3.0797 b=3.0797 c=6.0872 alpha=90.00 beta=90.00 gamma=90.00
Positions (direct):
Co  0.5000  0.5000  0.2500
Fe  0.5000  0.5000  0.7500
Ta  0.0000  0.0000  0.9986
Ta  0.0000  0.0000  0.5014

Summary:
Its volume is 14.43 Å³ per atom. For the total magnetization, the calculation gives 2.09 μB per formula unit. As for the crystal system: tetragonal. The total energy is -9.948 eV/atom.

=====

VASP calculation (PBE) on a relaxed structure of TaFeCo6.

Unit cell a=6.2403 b=6.2403 c=10.1982 alpha=90.00 beta=90.00 gamma=109.70
Positions (direct):
Ta  0.7554  0.2446  0.7500
Ta  0.2446  0.7554  0.7500
Ta  0.0000  0.0000  0.5004
Ta  0.0000  0.0000  0.9996
Fe  0.7557  0.2443  0.2500
Fe  0.2443  0.7557  0.2500
Fe  0.5000  0.5000  0.4981
Fe  0.5000  0.5000  0.0019
Co  0.7462  0.2538  0.4933
Co  0.6156  0.8705  0.3713
Co  0.3844  0.1295  0.3713
Co  0.2538  0.7462  0.4933
Co  0.1295  0.3844  0.3713
Co  0.8705  0.6156  0.3713
Co  0.5000  0.5000  0.7500
Co  0.3804  0.1344  0.6212
Co  0.1344  0.3804  0.6212
Co  0.7462  0.2538  0.0067
Co  0.6196  0.8656  0.8788
Co  0.3804  0.1344  0.8788
Co  0.2538  0.7462  0.0067
Co  0.1344  0.3804  0.8788
Co  0.8656  0.6196  0.8788
Co  0.5000  0.5000  0.2500
Co  0.3844  0.1295  0.1287
Co  0.1295  0.3844  0.1287
Co  0.0000  0.0000  0.7500
Co  0.8656  0.6196  0.6212
Co  0.6196  0.8656  0.6212
Co  0.0000  0.0000  0.2500
Co  0.8705  0.6156  0.1287
Co  0.6156  0.8705  0.1287

Summary:
Its volume is 11.68 Å³ per atom. For the total magnetization, the calculation gives 9.35 μB per formula unit. As for the crystal system: orthorhombic. The total energy is -7.937 eV/atom.

=====

VASP calculation (PBE) on a relaxed structure of Ta2FeCo.

Unit cell a=4.7813 b=4.7813 c=4.5242 alpha=80.02 beta=80.02 gamma=34.63
Positions (direct):
Co  0.5111  0.5111  0.5234
Fe  0.2374  0.2374  0.2286
Ta  0.9894  0.9894  0.0489
Ta  0.7620  0.7620  0.6991

Summary:
Its volume is 14.45 Å³ per atom. For the total magnetization, the calculation gives 1.03 μB per formula unit. As for the crystal system: monoclinic. The total energy is -9.809 eV/atom.

=====

VASP calculation (PBE) on a relaxed structure of Ta2FeCo.

Unit cell a=8.0133 b=8.0133 c=8.0133 alpha=21.41 beta=21.41 gamma=21.41
Positions (direct):
Co  0.2500  0.2500  0.2500
Fe  0.7500  0.7500  0.7500
Ta  0.9991  0.9991  0.9991
Ta  0.5009  0.5009  0.5009

Summary:
Its volume is 15.02 Å³ per atom. For the total magnetization, the calculation gives 1.17 μB per formula unit. As for the crystal system: trigonal. The total energy is -9.610 eV/atom.

=====

VASP calculation (PBE) on a relaxed structure of TaFeCoTc2.

Unit cell a=4.6873 b=4.4954 c=4.6873 alpha=90.00 beta=90.00 gamma=90.00
Positions (direct):
Fe  0.0000  0.5000  0.0000
Co  0.5000  0.5000  0.5000
Tc  0.0000  0.0000  0.5000
Tc  0.5000  0.0000  0.0000
Ta  0.0000  0.0000  0.0000

Summary:
Its volume is 19.75 Å³ per atom. For the total magnetization, the calculation gives 4.64 μB per formula unit. As for the crystal system: tetragonal. The total energy is -7.684 eV/atom.

=====

VASP calculation (PBE) on a relaxed structure of TmTaFeCo.

Unit cell a=4.4702 b=4.4702 c=4.4702 alpha=60.00 beta=60.00 gamma=60.00
Positions (direct):
Tm  0.5000  0.5000  0.5000
Co  0.7500  0.7500  0.7500
Fe  0.2500  0.2500  0.2500
Ta  0.0000  0.0000  0.0000

Summary:
Its volume is 15.79 Å³ per atom. For the total magnetization, the calculation gives 1.16 μB per formula unit. As for the crystal system: cubic. The total energy is -8.011 eV/atom.

=====

VASP calculation (PBE) on a relaxed structure of YTaFe2Co.

Unit cell a=4.5522 b=4.5522 c=4.5661 alpha=90.00 beta=90.00 gamma=90.00
Positions (direct):
Y  0.5000  0.5000  0.5000
Co  0.0000  0.0000  0.5000
Fe  0.0000  0.5000  0.0000
Fe  0.5000  0.0000  0.0000
Ta  0.0000  0.0000  0.0000

Summary:
Its volume is 18.92 Å³ per atom. For the total magnetization, the calculation gives 2.88 μB per formula unit. As for the crystal system: tetragonal. The total energy is -7.704 eV/atom.

=====

VASP calculation (PBE) on a relaxed structure of ZrTaFeCo.

Unit cell a=4.4218 b=4.4218 c=4.4218 alpha=60.00 beta=60.00 gamma=60.00
Positions (direct):
Co  0.7500  0.7500  0.7500
Fe  0.2500  0.2500  0.2500
Zr  0.5000  0.5000  0.5000
Ta  0.0000  0.0000  0.0000

Summary:
Its volume is 15.28 Å³ per atom. For the total magnetization, the calculation gives 1.70 μB per formula unit. As for the crystal system: cubic. The total energy is -9.153 eV/atom.

=====

> The highest total magnetization belongs to which entry?

TaFeCo6

=====

> Which of these has the highest total magnetization?

TaFeCo6

=====

> Among the records above, which one has the highest total magnetization?

TaFeCo6